A plane-wave DFT calculation with GGA-PBE was carried out for an optimized crystal structure of ThCu8Ni4.

Calculated values
Calculated volume, Å³/atom: 13.16
E, eV/atom: -4.992
Formation energy, eV/atom: -0.122
Crystal system: tetragonal

abc: 4.8888 6.4000 6.4000
angles: 81.61 67.55 67.55
Atoms (fractional coordinates):
1 Cu 0.7251 0.7749 0.7749
2 Cu 0.5000 0.7749 0.2251
3 Cu 0.0000 0.3528 0.6472
4 Cu 0.2749 0.2251 0.2251
5 Cu 0.5000 0.2251 0.7749
6 Cu 0.3528 0.6472 0.6472
7 Cu 0.0000 0.6472 0.3528
8 Cu 0.6472 0.3528 0.3528
9 Ni 0.5000 0.0000 0.5000
10 Ni 0.5000 0.5000 0.0000
11 Ni 0.0000 0.0000 0.5000
12 Ni 0.0000 0.5000 0.0000
13 Th 0.0000 0.0000 0.0000